# 1
Here is an optimized crystal structure of CsHPd2 from the Alexandria database. Energies are from PBEsol.

It has space group Fd-3m (No. 227, origin choice 2), with a = 8.298 Å, b = 8.298 Å, c = 8.298 Å, α = 90.00°, β = 90.00° and γ = 90.00°. Symmetry generates all atoms from Cs at (0.125, 0.125, 0.125), H at (0.125, 0.125, 0.625) and Pd at (0.000, 0.000, 0.500).

As for the mass density: 8.1 Mg/m³. For the calculated volume, the calculation gives 571 Å³ per cell. For the energy, the calculation gives -4.186 eV/atom.



# 2
Here is an optimized crystal structure of Cs2H6Pt from the Alexandria database. Energies are from PBEsol.

It has space group Fm-3m (No. 225), with a = 8.705 Å, b = 8.705 Å, c = 8.705 Å, α = 90.00°, β = 90.00° and γ = 90.00°. Symmetry generates all atoms from Cs at (0.250, 0.250, 0.250), H at (0.000, 0.000, 0.189) and Pt at (0.000, 0.000, 0.000).

As for the mass density: 4.7 Mg/m³. For the calculated volume, the calculation gives 660 Å³ per cell. For the energy, the calculation gives -3.592 eV/atom. As for the density of states at the Fermi level: 0.00 states/eV/f.u.



# 3
Here is an optimized crystal structure of CsRbH2Pt from the Alexandria database. Energies are from PBEsol.

It has space group R3m (No. 160, hexagonal axes), with a = 5.2753 Å, b = 5.2753 Å, c = 17.6430 Å, α = 90.00°, β = 90.00° and γ = 120.00°. Symmetry generates all atoms from Cs at (0.0000, 0.0000, 0.0000), Rb at (0.0000, 0.0000, 0.4887), H at (0.0000, 0.0000, 0.6463), H at (0.0000, 0.0000, 0.8346) and Pt at (0.0000, 0.0000, 0.7409).

As for the mass density: 4.9 Mg/m³. For the calculated volume, the calculation gives 425 Å³ per cell. For the energy, the calculation gives -3.373 eV/atom. As for the density of states at the Fermi level: 0.00 states/eV/f.u.



# 4
Here is an optimized crystal structure of CsTlH2Pt from the Alexandria database. Energies are from PBEsol.

It has space group P4/mmm (No. 123), with a = 4.103 Å, b = 4.103 Å, c = 6.292 Å, α = 90.00°, β = 90.00° and γ = 90.00°. Symmetry generates all atoms from Cs at (0.000, 0.000, 0.000), Tl at (0.500, 0.500, 0.500), H at (0.000, 0.500, 0.000) and Pt at (0.000, 0.000, 0.500).

As for the mass density: 8.4 Mg/m³. For the calculated volume, the calculation gives 106 Å³ per cell. For the energy, the calculation gives -2.459 eV/atom. As for the density of states at the Fermi level: 2.21 states/eV/f.u.